(1)
Density functional theory data (PBE) for VAg2Ru after structural relaxation.

## Properties
**DOS(E_F)**: 1.96 states/eV/f.u.
**E_tot**: -48.5 eV for the cell shown
**Magnetization**: 0.000 Bohr magnetons per cell
**Formation enthalpy at 0 K**: -41 meV per atom
**Energy relative to the lowest polymorph listed for this composition**: 0 meV per atom
**Symmetry**: P4/nmm

Lattice parameters (Å, degrees): 2.9540 2.9540 14.5703 90.00 90.00 90.00
Fractional coordinates of all 8 atoms:
V 0.2500 0.2500 0.0532
V 0.7500 0.7500 0.9468
Ag 0.2500 0.2500 0.2887
Ag 0.2500 0.2500 0.5708
Ag 0.7500 0.7500 0.4292
Ag 0.7500 0.7500 0.7113
Ru 0.2500 0.2500 0.8539
Ru 0.7500 0.7500 0.1461

(2)
Density functional theory data (PBE) for RbMg3Mo after structural relaxation.

## Properties
**DOS(E_F)**: 2.42 states/eV/f.u.
**E_tot**: -6.9 eV for the cell shown
**Magnetization**: 5.139 Bohr magnetons per cell
**Formation enthalpy at 0 K**: 1945 meV per atom
**Energy relative to the lowest polymorph listed for this composition**: 1161 meV per atom
**Symmetry**: Pm-3m

Lattice parameters (Å, degrees): 6.0662 6.0662 6.0662 90.00 90.00 90.00
Fractional coordinates of all 5 atoms:
Rb 0.0000 0.0000 0.0000
Mg 0.0000 0.0000 0.5000
Mg 0.0000 0.5000 0.0000
Mg 0.5000 0.0000 0.0000
Mo 0.5000 0.5000 0.5000

(3)
Density functional theory data (PBE) for HfInMoIr2 after structural relaxation.

## Properties
**DOS(E_F)**: 6.37 states/eV/f.u.
**E_tot**: -35.7 eV for the cell shown
**Magnetization**: 0.000 Bohr magnetons per cell
**Formation enthalpy at 0 K**: 1111 meV per atom
**Symmetry**: P4/mmm

Lattice parameters (Å, degrees): 4.7325 4.7325 4.9700 90.00 90.00 90.00
Fractional coordinates of all 5 atoms:
Hf 0.0000 0.0000 0.0000
In 0.5000 0.5000 0.0000
Mo 0.5000 0.5000 0.5000
Ir 0.0000 0.5000 0.5000
Ir 0.5000 0.0000 0.5000

(4)
Density functional theory data (PBE) for Cs5BaI6 after structural relaxation.

## Properties
**Formation energy from raw total energies**: -17.65 eV per formula unit
**DOS(E_F)**: 4.34 states/eV/f.u.
**E_tot**: -33.1 eV for the cell shown
**Magnetization**: 0.000 Bohr magnetons per cell
**Symmetry**: C2/m

Lattice parameters (Å, degrees): 9.4872 9.4872 9.5562 99.55 99.55 119.71
Fractional coordinates of all 12 atoms:
Cs 0.0000 0.0000 0.0000
Cs 0.1660 0.8340 0.5000
Cs 0.3275 0.6725 0.0000
Cs 0.6725 0.3275 0.0000
Cs 0.8340 0.1660 0.5000
Ba 0.5000 0.5000 0.5000
I 0.1186 0.4227 0.2694
I 0.2756 0.2756 0.7335
I 0.4227 0.1186 0.2694
I 0.5773 0.8814 0.7306
I 0.7244 0.7244 0.2665
I 0.8814 0.5773 0.7306